# 1
Entry from Alexandria via LeMat-Bulk: an optimized crystal structure of GeBiP2S (PBE-GGA).

Cell lengths 4.7694, 4.7694, 4.7067 Å; angles 90.00, 90.00, 90.00 degrees
Last column: nearest neighbours and their distance in Å.
Fractional positions:
S 0.0000 0.0000 0.5000  2 Ge 2.35
P 0.5000 0.0000 0.0000  2 Ge 2.38
P 0.0000 0.5000 0.0000  2 Ge 2.38
Bi 0.5000 0.5000 0.5000  8 P 3.35, 4 S 3.37
Ge 0.0000 0.0000 0.0000  2 S 2.35, 4 P 2.38

Summary:
- E_form (uncorrected) (eV per atom) = 0.572
- offset from the most stable computed form (meV per atom) = 0

---

# 2
Entry from Alexandria via LeMat-Bulk: an optimized crystal structure of GeBiPS2 (PBE-GGA).

Cell lengths 5.1781, 5.1781, 5.2466 Å; angles 90.00, 90.00, 90.00 degrees
Last column: nearest neighbours and their distance in Å.
Fractional positions:
P 0.0000 0.0000 0.5000  2 Bi 2.62
S 0.0000 0.5000 0.0000  2 Bi 2.59
S 0.5000 0.0000 0.0000  2 Bi 2.59
Bi 0.0000 0.0000 0.0000  4 S 2.59, 2 P 2.62
Ge 0.5000 0.5000 0.5000  4 P 3.66, 8 S 3.69

Summary:
- E_form (uncorrected) (eV per atom) = 0.904
- offset from the most stable computed form (meV per atom) = 540

---

# 3
Entry from Alexandria via LeMat-Bulk: an optimized crystal structure of SrGe2BiP (PBE-GGA).

Cell lengths 5.4940, 5.4940, 5.3901 Å; angles 90.00, 90.00, 90.00 degrees
Last column: nearest neighbours and their distance in Å.
Fractional positions:
Sr 0.5000 0.5000 0.5000  8 Ge 3.85, 4 P 3.88
P 0.0000 0.0000 0.5000  2 Bi 2.70
Bi 0.0000 0.0000 0.0000  2 P 2.70, 4 Ge 2.75
Ge 0.0000 0.5000 0.0000  2 Bi 2.75
Ge 0.5000 0.0000 0.0000  2 Bi 2.75

Summary:
- energy relative to the elements (eV/atom) = 0.492

---

# 4
Entry from Alexandria via LeMat-Bulk: an optimized crystal structure of Sr2GeBiP (PBE-GGA).

Cell lengths 6.1527, 4.4466, 6.1527 Å; angles 90.00, 90.00, 90.00 degrees
Last column: nearest neighbours and their distance in Å.
Fractional positions:
Sr 0.0000 0.0000 0.5000  2 Ge 3.08
Sr 0.5000 0.0000 0.0000  2 Ge 3.08
Bi 0.5000 0.5000 0.5000  8 Sr 3.80
Ge 0.0000 0.0000 0.0000  2 P 2.22
P 0.0000 0.5000 0.0000  2 Ge 2.22

Summary:
- energy relative to the elements (eV/atom) = -0.261

---

# 5
Entry from Alexandria via LeMat-Bulk: an optimized crystal structure of TlGeBi2P (PBE-GGA).

Cell lengths 5.6369, 4.7831, 5.6369 Å; angles 90.00, 90.00, 90.00 degrees
Last column: nearest neighbours and their distance in Å.
Fractional positions:
Bi 0.5000 0.0000 0.0000  2 Ge 2.82
Bi 0.0000 0.0000 0.5000  2 Ge 2.82
Ge 0.0000 0.0000 0.0000  2 P 2.39
P 0.0000 0.5000 0.0000  2 Ge 2.39
Tl 0.5000 0.5000 0.5000  8 Bi 3.70, 4 P 3.99

Summary:
- energy relative to the elements (eV/atom) = 0.539

---

# 6
Entry from Alexandria via LeMat-Bulk: an optimized crystal structure of Zn2GeBiP (PBE-GGA).

Cell lengths 4.7511, 5.0512, 4.7511 Å; angles 90.00, 90.00, 90.00 degrees
Last column: nearest neighbours and their distance in Å.
Fractional positions:
Zn 0.5000 0.0000 0.0000  2 Ge 2.38
Zn 0.0000 0.0000 0.5000  2 Ge 2.38
Ge 0.0000 0.0000 0.0000  4 Zn 2.38, 2 P 2.53
Bi 0.5000 0.5000 0.5000  4 P 3.36, 8 Zn 3.47
P 0.0000 0.5000 0.0000  2 Ge 2.53

Summary:
- offset from the most stable computed form (meV per atom) = 0
- energy relative to the elements (eV/atom) = 0.486

---

Number 1: N(E_F) 3.5 states/eV/f.u.. Number 2: N(E_F) 4.9 states/eV/f.u.. Number 3: N(E_F) 3.1 states/eV/f.u.. Number 4: N(E_F) 3.2 states/eV/f.u.. Number 5: N(E_F) 4.2 states/eV/f.u.. Number 6: N(E_F) 2.5 states/eV/f.u..